Computed, not measured: a relaxed structure of FeReF3 at the GGA+U level of DFT.

Values from the calculation:
* total magnetic moment: 0.963 μB/atom
* relative energy among the computed polymorphs: 74 meV/atom

a b c (Å): 4.196 4.196 4.196
angles (deg): 90.00 90.00 90.00
Space group Pm-3m (No. 221)
Symmetry-distinct sites (fractional):
Fe: 0.000 0.000 0.000 (multiplicity 1)
Re: 0.500 0.500 0.500 (multiplicity 1)
F: 0.000 0.500 0.500 (multiplicity 3)